Compound: Ta2HPb
Source: Alexandria
Functional: SCAN
Structure: PBEsol geometry

Summary:
- theoretical density (g/cm3) = 14.18
- N(E_F) (states/eV per cell) = 2.39
- size of the total moment (μB/cell) = 0.0
- space-group type = No. 225
- total energy (eV/cell) = -208.18

Unit cell a=4.5536 b=4.5536 c=4.5536 alpha=60.00 beta=60.00 gamma=60.00
Atoms (fractional coordinates):
Pb 0.5000 0.5000 0.5000
H 0.0000 0.0000 0.0000
Ta 0.2500 0.2500 0.2500
Ta 0.7500 0.7500 0.7500

=====

Compound: TaH3Pb
Source: Alexandria
Functional: SCAN
Structure: PBEsol geometry

Summary:
- theoretical density (g/cm3) = 12.22
- N(E_F) (states/eV per cell) = 1.84
- size of the total moment (μB/cell) = 0.0
- space-group type = No. 221
- total energy (eV/cell) = -150.80

Unit cell a=3.7602 b=3.7602 c=3.7602 alpha=90.00 beta=90.00 gamma=90.00
Atoms (fractional coordinates):
Pb 0.5000 0.5000 0.5000
H 0.0000 0.5000 0.0000
H 0.0000 0.0000 0.5000
H 0.5000 0.0000 0.0000
Ta 0.0000 0.0000 0.0000

=====

Compound: TcH2Pb
Source: Alexandria
Functional: SCAN
Structure: PBEsol geometry

Summary:
- theoretical density (g/cm3) = 10.96
- N(E_F) (states/eV per cell) = 2.48
- size of the total moment (μB/cell) = 1.9
- space-group type = No. 122
- total energy (eV/cell) = -232.39

Unit cell a=4.9502 b=4.9502 c=4.9502 alpha=107.75 beta=107.75 gamma=112.96
Atoms (fractional coordinates):
Pb 0.0000 0.0000 0.0000
Pb 0.2500 0.7500 0.5000
H 0.7596 0.8750 0.3846
H 0.4904 0.3750 0.6154
H 0.1250 0.5096 0.8846
H 0.6250 0.2404 0.1154
Tc 0.5000 0.5000 0.0000
Tc 0.7500 0.2500 0.5000

=====

Compound: TiTcH2Pb
Source: Alexandria
Functional: SCAN
Structure: PBEsol geometry

Summary:
- theoretical density (g/cm3) = 8.16
- N(E_F) (states/eV per cell) = 2.63
- size of the total moment (μB/cell) = 0.8
- space-group type = No. 123
- total energy (eV/cell) = -130.44

Unit cell a=3.7222 b=3.7222 c=5.2171 alpha=90.00 beta=90.00 gamma=90.00
Atoms (fractional coordinates):
Pb 0.0000 0.0000 0.5000
H 0.0000 0.5000 0.0000
H 0.5000 0.0000 0.0000
Tc 0.0000 0.0000 0.0000
Ti 0.5000 0.5000 0.5000

=====

Compound: Y2TcHPb
Source: Alexandria
Functional: SCAN
Structure: PBEsol geometry

Summary:
- theoretical density (g/cm3) = 6.78
- N(E_F) (states/eV per cell) = 3.29
- size of the total moment (μB/cell) = 1.8
- space-group type = No. 123
- total energy (eV/cell) = -165.96

Unit cell a=3.5883 b=5.7492 c=5.7492 alpha=90.00 beta=90.00 gamma=90.00
Atoms (fractional coordinates):
Pb 0.0000 0.0000 0.0000
Y 0.0000 0.0000 0.5000
Y 0.0000 0.5000 0.0000
Tc 0.5000 0.5000 0.5000
H 0.5000 0.0000 0.0000

=====

Compound: Te2H2Pb
Source: Alexandria
Functional: SCAN
Structure: PBEsol geometry

Summary:
- theoretical density (g/cm3) = 5.88
- N(E_F) (states/eV per cell) = 1.20
- size of the total moment (μB/cell) = 0.0
- space-group type = No. 127
- total energy (eV/cell) = -311.72

Unit cell a=3.4154 b=8.7665 c=8.7665 alpha=90.00 beta=90.00 gamma=90.00
Atoms (fractional coordinates):
Pb 0.0000 0.0000 0.0000
Pb 0.0000 0.5000 0.5000
H 0.5000 0.2434 0.7434
H 0.5000 0.7434 0.7566
H 0.5000 0.7566 0.2566
H 0.5000 0.2566 0.2434
Te 0.0000 0.3146 0.8146
Te 0.0000 0.8146 0.6854
Te 0.0000 0.6854 0.1854
Te 0.0000 0.1854 0.3146

=====

Compound: TeH3Pb
Source: Alexandria
Functional: SCAN
Structure: PBEsol geometry

Summary:
- theoretical density (g/cm3) = 8.15
- N(E_F) (states/eV per cell) = 1.36
- size of the total moment (μB/cell) = 0.0
- space-group type = No. 221
- total energy (eV/cell) = -119.85

Unit cell a=4.0980 b=4.0980 c=4.0980 alpha=90.00 beta=90.00 gamma=90.00
Atoms (fractional coordinates):
Pb 0.5000 0.5000 0.5000
H 0.0000 0.5000 0.0000
H 0.0000 0.0000 0.5000
H 0.5000 0.0000 0.0000
Te 0.0000 0.0000 0.0000

=====

Compound: TiTeH2Pb
Source: Alexandria
Functional: SCAN
Structure: PBEsol geometry

Summary:
- theoretical density (g/cm3) = 6.20
- N(E_F) (states/eV per cell) = 1.49
- size of the total moment (μB/cell) = 1.1
- space-group type = No. 123
- total energy (eV/cell) = -133.33

Unit cell a=3.9398 b=3.9398 c=6.6416 alpha=90.00 beta=90.00 gamma=90.00
Atoms (fractional coordinates):
Pb 0.0000 0.0000 0.5000
H 0.0000 0.5000 0.0000
H 0.5000 0.0000 0.0000
Te 0.0000 0.0000 0.0000
Ti 0.5000 0.5000 0.5000

=====

Q: What is the N(E_F) in the eighth record?
A: 1.49 states/eV per cell

=====

Please write out number 6 again, unchanged.
Compound: Te2H2Pb
Source: Alexandria
Functional: SCAN
Structure: PBEsol geometry

Summary:
- theoretical density (g/cm3) = 5.88
- N(E_F) (states/eV per cell) = 1.20
- size of the total moment (μB/cell) = 0.0
- space-group type = No. 127
- total energy (eV/cell) = -311.72

Unit cell a=3.4154 b=8.7665 c=8.7665 alpha=90.00 beta=90.00 gamma=90.00
Atoms (fractional coordinates):
Pb 0.0000 0.0000 0.0000
Pb 0.0000 0.5000 0.5000
H 0.5000 0.2434 0.7434
H 0.5000 0.7434 0.7566
H 0.5000 0.7566 0.2566
H 0.5000 0.2566 0.2434
Te 0.0000 0.3146 0.8146
Te 0.0000 0.8146 0.6854
Te 0.0000 0.6854 0.1854
Te 0.0000 0.1854 0.3146